Entry from Alexandria via LeMat-Bulk: an optimized crystal structure of ScAsRh (PBE-GGA).

Output
Total magnetization = 0.00 μB/cell
Formation energy = -715 meV/atom

Unit cell a=3.2578 b=3.8895 c=8.1462 alpha=90.00 beta=90.00 gamma=90.00
Space group Imm2 (No. 44)
Inequivalent atoms, fractional coordinates:
Sc 0.0000 0.0000 0.0000
As 0.0000 0.0000 0.6708
Rh 0.0000 0.0000 0.3528